Here is a relaxed Pr2BO4 crystal from the Open Quantum Materials Database. Energies are from PBE.

As for the total energy: -7.551 eV per atom. As for the symmetry: Fd-3m.

abc: 6.3156 6.3156 6.3156
angles: 60.00 60.00 60.00
Sites, in units of the cell vectors:
Pr  0.0000  0.0000  0.0000
Pr  0.0000  0.0000  0.5000
Pr  0.0000  0.5000  0.0000
Pr  0.5000  0.0000  0.0000
B  0.3750  0.3750  0.3750
B  0.6250  0.6250  0.6250
O  0.2751  0.2751  0.2751
O  0.2751  0.2751  0.6746
O  0.2751  0.6746  0.2751
O  0.3254  0.7249  0.7249
O  0.6746  0.2751  0.2751
O  0.7249  0.3254  0.7249
O  0.7249  0.7249  0.3254
O  0.7249  0.7249  0.7249

=====

Here is a relaxed Li7PaO6 crystal from the Open Quantum Materials Database. Energies are from PBE.

As for the total energy: -5.911 eV per atom. As for the symmetry: R3.

abc: 6.1726 6.1726 6.1726
angles: 54.43 54.43 54.43
Sites, in units of the cell vectors:
Li  0.0000  0.0000  0.0000
Li  0.1474  0.9144  0.5231
Li  0.1629  0.4236  0.7256
Li  0.4236  0.7256  0.1629
Li  0.5231  0.1474  0.9144
Li  0.7256  0.1629  0.4236
Li  0.9144  0.5231  0.1474
Pa  0.6486  0.6486  0.6486
O  0.0294  0.7691  0.4062
O  0.2532  0.5751  0.8565
O  0.4062  0.0294  0.7691
O  0.5751  0.8565  0.2532
O  0.7691  0.4062  0.0294
O  0.8565  0.2532  0.5751

=====

Here is a relaxed LaPrIr2C2N2 crystal from the Open Quantum Materials Database. Energies are from PBE.

As for the total energy: -8.303 eV per atom. As for the symmetry: P4mm.

abc: 3.8065 3.8065 7.5758
angles: 90.00 90.00 90.00
Sites, in units of the cell vectors:
La  0.0000  0.0000  0.0000
Pr  0.5000  0.5000  0.3390
Ir  0.0000  0.5000  0.6672
Ir  0.5000  0.0000  0.6672
C  0.0000  0.0000  0.5156
C  0.5000  0.5000  0.8246
N  0.0000  0.0000  0.3323
N  0.5000  0.5000  0.0067

=====

Here is a relaxed Gd2DyIn3CuNi2 crystal from the Open Quantum Materials Database. Energies are from PBE.

As for the total energy: -4.587 eV per atom. As for the symmetry: Amm2.

abc: 3.8417 7.4718 7.4718
angles: 120.01 90.00 90.00
Sites, in units of the cell vectors:
Gd  0.0000  0.2063  0.7937
Gd  0.0000  0.7937  0.2063
Dy  0.0000  0.3811  0.3811
In  0.5000  0.0520  0.0520
In  0.5000  0.5355  0.7935
In  0.5000  0.7935  0.5355
Cu  0.0000  0.7935  0.7935
Ni  0.5000  0.1271  0.4603
Ni  0.5000  0.4603  0.1271

=====

total energy of number 2 (Li7PaO6)?
-5.911 eV per atom

=====

What did the third record say?
Here is a relaxed LaPrIr2C2N2 crystal from the Open Quantum Materials Database. Energies are from PBE.

As for the total energy: -8.303 eV per atom. As for the symmetry: P4mm.

abc: 3.8065 3.8065 7.5758
angles: 90.00 90.00 90.00
Sites, in units of the cell vectors:
La  0.0000  0.0000  0.0000
Pr  0.5000  0.5000  0.3390
Ir  0.0000  0.5000  0.6672
Ir  0.5000  0.0000  0.6672
C  0.0000  0.0000  0.5156
C  0.5000  0.5000  0.8246
N  0.0000  0.0000  0.3323
N  0.5000  0.5000  0.0067

=====

Look up the total energy of the third one.
-8.303 eV per atom